TaNb3Sn | PBE | optimized geometry

POSCAR file:
```
TaNb3Sn
1.0
-7.556 4.741 -2.202
-6.231 -3.202 1.652
-2.804 3.962 5.315
Ta Nb Sn
4 12 4
Direct
0.807 0.179 0.543
0.193 0.821 0.457
0.307 0.543 0.179
0.693 0.457 0.821
0.567 0.952 0.659
0.931 0.923 0.265
0.918 0.671 0.646
0.582 0.354 0.329
0.418 0.646 0.671
0.933 0.341 0.048
0.569 0.735 0.077
0.082 0.329 0.354
0.067 0.659 0.952
0.069 0.077 0.735
0.431 0.265 0.923
0.433 0.048 0.341
0.750 0.021 0.979
0.250 0.368 0.632
0.250 0.979 0.021
0.750 0.632 0.368
```

Summary:
ΔH_f (0 K)   0.417 eV per formula unit
D(E_F)   0.795 states/eV/atom
Distance to the lowest polymorph of the same formula   111 meV per atom
Density   9.9 Mg/m³
Total moment   0.0000 μB per atom
Volume   19.36 Å³ per atom